First-principles (PBE) data for a geometry-optimized Ti6Ga16Os7 structure, as listed in Alexandria via LeMat-Bulk.

Lattice parameters (Å, degrees): 12.246 12.246 12.246 90.00 90.00 90.00
Space group Fm-3m (No. 225)
Inequivalent atoms, fractional coordinates:
Ti (0.000, 0.000, 0.212) x24
Ga (0.124, 0.124, 0.376) x32
Ga (0.147, 0.147, 0.147) x32
Os (0.000, 0.000, 0.000) x4
Os (0.000, 0.250, 0.250) x24

Properties
The value obtained for the formation energy is -280 meV/atom.


First-principles (PBE) data for a geometry-optimized La5In4Ga structure, as listed in Alexandria via LeMat-Bulk.

Lattice parameters (Å, degrees): 3.887 3.887 19.937 90.00 90.00 90.00
Space group P4/mmm (No. 123)
Inequivalent atoms, fractional coordinates:
La (0.000, 0.000, 0.000) x1
La (0.000, 0.000, 0.205) x2
La (0.000, 0.000, 0.409) x2
In (0.500, 0.500, 0.102) x2
In (0.500, 0.500, 0.306) x2
Ga (0.500, 0.500, 0.500) x1

Properties
The value obtained for the formation energy is -524 meV/atom.


First-principles (PBE) data for a geometry-optimized Pr3Ga9Pd2 structure, as listed in Alexandria via LeMat-Bulk.

Lattice parameters (Å, degrees): 4.335 10.028 12.732 90.00 90.00 90.00
Space group Immm (No. 71)
Inequivalent atoms, fractional coordinates:
Pr (0.000, 0.000, 0.000) x2
Pr (0.000, 0.000, 0.318) x4
Ga (0.000, 0.275, 0.130) x8
Ga (0.000, 0.370, 0.334) x8
Ga (0.000, 0.500, 0.000) x2
Pd (0.000, 0.223, 0.500) x4

Properties
The value obtained for the formation energy is -665 meV/atom.


First-principles (PBE) data for a geometry-optimized Ba2HgBi4 structure, as listed in Alexandria via LeMat-Bulk.

Lattice parameters (Å, degrees): 6.829 6.829 11.417 90.00 90.00 90.00
Space group I4/mmm (No. 139)
Inequivalent atoms, fractional coordinates:
Ba (0.000, 0.500, 0.000) x4
Hg (0.000, 0.000, 0.000) x2
Bi (0.250, 0.250, 0.250) x8

Properties
The value obtained for the formation energy is -502 meV/atom.


First-principles (PBE) data for a geometry-optimized KRu2Pt structure, as listed in Alexandria via LeMat-Bulk.

Lattice parameters (Å, degrees): 4.062 4.062 8.292 90.00 90.00 90.00
Space group I4/mmm (No. 139)
Inequivalent atoms, fractional coordinates:
K (0.000, 0.000, 0.000) x2
Ru (0.000, 0.500, 0.250) x4
Pt (0.000, 0.000, 0.500) x2

Properties
The value obtained for the formation energy is 1208 meV/atom. Its energy relative to the lowest polymorph listed for this composition is 771.5 meV/atom.


First-principles (PBE) data for a geometry-optimized Ba2FeAg structure, as listed in Alexandria via LeMat-Bulk.

Lattice parameters (Å, degrees): 3.777 3.777 9.404 90.00 90.00 90.00
Space group P4mm (No. 99)
Inequivalent atoms, fractional coordinates:
Ba (0.000, 0.000, 0.000) x1
Ba (0.500, 0.500, 0.414) x1
Fe (0.000, 0.000, 0.657) x1
Ag (0.500, 0.500, 0.760) x1

Properties
The value obtained for the formation energy is 402 meV/atom. Its energy relative to the lowest polymorph listed for this composition is 177.9 meV/atom.


First-principles (PBE) data for a geometry-optimized Nd2MgAg2 structure, as listed in Alexandria via LeMat-Bulk.

Lattice parameters (Å, degrees): 7.744 11.769 5.794 90.00 90.00 90.00
Space group Ibam (No. 72)
Inequivalent atoms, fractional coordinates:
Nd (0.153, 0.201, 0.000) x8
Mg (0.000, 0.500, 0.250) x4
Ag (0.181, 0.059, 0.500) x8

Properties
The value obtained for the formation energy is -111 meV/atom. Its energy relative to the lowest polymorph listed for this composition is 134.1 meV/atom.


First-principles (PBE) data for a geometry-optimized La2TiS4 structure, as listed in Alexandria via LeMat-Bulk.

Lattice parameters (Å, degrees): 6.876 6.348 7.983 90.00 107.05 90.00
Space group P2_1/m (No. 11)
Inequivalent atoms, fractional coordinates:
La (0.232, 0.250, 0.059) x2
La (0.255, 0.250, 0.562) x2
Ti (0.247, 0.750, 0.808) x2
S (0.006, 0.505, 0.256) x4
S (0.432, 0.750, 0.101) x2
S (0.436, 0.750, 0.612) x2

Properties
Its energy relative to the lowest polymorph listed for this composition is 52.8 meV/atom.